# 1
Pr2Zn3Au6: optimized geometry, PBE.

- ΔH_f (0 K): -0.444 eV per atom
- Calculated density: 11.58 g/cm3
- Calculated volume: 21.639 A^3/atom
- Energy: -3.45 eV/atom

a b c (Å): 7.8665 7.8665 3.9887
angles (deg): 90.00 90.00 105.35
Sites, in units of the cell vectors:
Pr 0.1734 0.8266 0.0000
Pr 0.8266 0.1734 0.0000
Zn 0.3222 0.3222 0.0000
Zn 0.5000 0.5000 0.5000
Zn 0.6778 0.6778 0.0000
Au 0.1414 0.1414 0.5000
Au 0.1754 0.5157 0.5000
Au 0.4843 0.8246 0.5000
Au 0.5157 0.1754 0.5000
Au 0.8246 0.4843 0.5000
Au 0.8586 0.8586 0.5000



# 2
PrZnAu2: optimized geometry, PBE.

- ΔH_f (0 K): -0.635 eV per atom
- Calculated density: 11.64 g/cm3
- Calculated volume: 21.404 A^3/atom
- Energy: -3.79 eV/atom

a b c (Å): 7.0009 4.6912 10.4271
angles (deg): 90.00 90.00 90.00
Sites, in units of the cell vectors:
Pr 0.2498 0.2500 0.1582
Pr 0.2502 0.7500 0.6582
Pr 0.7498 0.2500 0.3418
Pr 0.7502 0.7500 0.8418
Zn 0.0699 0.2500 0.8698
Zn 0.4301 0.7500 0.3698
Zn 0.5699 0.2500 0.6302
Zn 0.9301 0.7500 0.1302
Au 0.0505 0.7500 0.3683
Au 0.2198 0.7500 0.9562
Au 0.2802 0.2500 0.4562
Au 0.4495 0.2500 0.8683
Au 0.5505 0.7500 0.1317
Au 0.7198 0.7500 0.5438
Au 0.7802 0.2500 0.0438
Au 0.9495 0.2500 0.6317